DFT (PBE) results for crystalline PrCu5Ni2 at its relaxed geometry.

Cell and atoms, written as CIF:
```
data_PrCu5Ni2
_chemical_formula_sum 'Pr2 Cu10 Ni4'
_symmetry_space_group_name_H-M 'I m m m'
_symmetry_Int_Tables_number 71
_symmetry_space_group_name_Hall '-I 2 2'
_cell_length_a 3.7842
_cell_length_b 7.1133
_cell_length_c 8.7844
_cell_angle_alpha 90.00
_cell_angle_beta 90.00
_cell_angle_gamma 90.00
loop_
_atom_site_label
_atom_site_fract_x
_atom_site_fract_y
_atom_site_fract_z
Pr1 0.0000 0.0000 0.0000
Cu1 0.0000 0.1768 0.3476
Cu2 0.0000 0.5000 0.0000
Ni1 0.0000 0.5000 0.2670
```

---

DFT (PBE) results for crystalline PrCu2Ni5 at its relaxed geometry.

Cell and atoms, written as CIF:
```
data_PrCu2Ni5
_chemical_formula_sum 'Pr2 Cu4 Ni10'
_symmetry_space_group_name_H-M 'I m m m'
_symmetry_Int_Tables_number 71
_symmetry_space_group_name_Hall '-I 2 2'
_cell_length_a 3.7042
_cell_length_b 6.6356
_cell_length_c 9.2822
_cell_angle_alpha 90.00
_cell_angle_beta 90.00
_cell_angle_gamma 90.00
loop_
_atom_site_label
_atom_site_fract_x
_atom_site_fract_y
_atom_site_fract_z
Pr1 0.0000 0.0000 0.0000
Cu1 0.0000 0.5000 0.2508
Ni1 0.0000 0.1808 0.3647
Ni2 0.0000 0.5000 0.0000
```

---

DFT (PBE) results for crystalline Pr3Cu3Ni at its relaxed geometry.

Cell and atoms, written as CIF:
```
data_Pr3Cu3Ni
_chemical_formula_sum 'Pr6 Cu6 Ni2'
_symmetry_space_group_name_H-M 'I m m 2'
_symmetry_Int_Tables_number 44
_cell_length_a 3.8859
_cell_length_b 4.3503
_cell_length_c 18.5442
_cell_angle_alpha 90.00
_cell_angle_beta 90.00
_cell_angle_gamma 90.00
loop_
_symmetry_equiv_pos_as_xyz
'x,y,z'
'-x,-y,z'
'-x,y,z'
'x,-y,z'
'x+1/2,y+1/2,z+1/2'
'-x+1/2,-y+1/2,z+1/2'
'-x+1/2,y+1/2,z+1/2'
'x+1/2,-y+1/2,z+1/2'
loop_
_atom_site_label
_atom_site_fract_x
_atom_site_fract_y
_atom_site_fract_z
Pr1 0.0000 0.0000 0.0000
Pr2 0.0000 0.0000 0.3617
Pr3 0.0000 0.5000 0.1872
Cu1 0.0000 0.0000 0.5487
Cu2 0.0000 0.0000 0.8189
Cu3 0.0000 0.5000 0.6207
Ni1 0.0000 0.5000 0.7505
```

---

DFT (PBE) results for crystalline Pr2Cu12Ni5 at its relaxed geometry.

Cell and atoms, written as CIF:
```
data_Pr2Cu12Ni5
_chemical_formula_sum 'Pr6 Cu36 Ni15'
_symmetry_space_group_name_H-M 'R -3 m'
_symmetry_Int_Tables_number 166
_symmetry_space_group_name_Hall '-R 3 2"'
_cell_length_a 8.5591
_cell_length_b 8.5591
_cell_length_c 12.4421
_cell_angle_alpha 90.00
_cell_angle_beta 90.00
_cell_angle_gamma 120.00
loop_
_atom_site_label
_atom_site_fract_x
_atom_site_fract_y
_atom_site_fract_z
Pr1 0.0000 0.0000 0.1672
Cu1 0.0000 0.2884 0.5000
Cu2 0.0041 0.5021 0.3452
Ni1 0.0000 0.0000 0.4020
Ni2 0.0000 0.5000 0.0000
```

---

DFT (PBE) results for crystalline PrCu2Ni2 at its relaxed geometry.

Summary:
Polymorph energy (0 for the lowest one)   0.000 eV per atom

Cell and atoms, written as CIF:
```
data_PrCu2Ni2
_chemical_formula_sum 'Pr2 Cu4 Ni4'
_symmetry_space_group_name_H-M 'I 4/m m m'
_symmetry_Int_Tables_number 139
_symmetry_space_group_name_Hall '-I 4 2'
_cell_length_a 3.8935
_cell_length_b 3.8935
_cell_length_c 10.6051
_cell_angle_alpha 90.00
_cell_angle_beta 90.00
_cell_angle_gamma 90.00
loop_
_atom_site_label
_atom_site_fract_x
_atom_site_fract_y
_atom_site_fract_z
Pr1 0.0000 0.0000 0.0000
Cu1 0.0000 0.5000 0.2500
Ni1 0.0000 0.0000 0.3900
```

---

DFT (PBE) results for crystalline PrCu9Ni3 at its relaxed geometry.

Cell and atoms, written as CIF:
```
data_PrCu9Ni3
_chemical_formula_sum 'Pr2 Cu18 Ni6'
_symmetry_space_group_name_H-M 'C 1 2/m 1'
_symmetry_Int_Tables_number 12
_cell_length_a 4.8584
_cell_length_b 11.9694
_cell_length_c 6.4007
_cell_angle_alpha 90.00
_cell_angle_beta 111.31
_cell_angle_gamma 90.00
loop_
_symmetry_equiv_pos_as_xyz
'x,y,z'
'-x,-y,-z'
'-x,y,-z'
'x,-y,z'
'x+1/2,y+1/2,z'
'-x+1/2,-y+1/2,-z'
'-x+1/2,y+1/2,-z'
'x+1/2,-y+1/2,z'
loop_
_atom_site_label
_atom_site_fract_x
_atom_site_fract_y
_atom_site_fract_z
Pr1 0.0000 0.0000 0.0000
Cu1 0.0000 0.5000 0.5000
Cu2 0.1131 0.3856 0.2268
Cu3 0.1648 0.1780 0.3520
Ni1 0.0000 0.0000 0.5000
Ni2 0.2500 0.2500 0.0000
```

---

DFT (PBE) results for crystalline Pr5CuNi2 at its relaxed geometry.

Cell and atoms, written as CIF:
```
data_Pr5CuNi2
_chemical_formula_sum 'Pr20 Cu4 Ni8'
_symmetry_space_group_name_H-M 'I 4/m c m'
_symmetry_Int_Tables_number 140
_symmetry_space_group_name_Hall '-I 4 2c'
_cell_length_a 7.9593
_cell_length_b 7.9593
_cell_length_c 13.1017
_cell_angle_alpha 90.00
_cell_angle_beta 90.00
_cell_angle_gamma 90.00
loop_
_atom_site_label
_atom_site_fract_x
_atom_site_fract_y
_atom_site_fract_z
Pr1 0.0000 0.0000 0.0000
Pr2 0.1639 0.3361 0.1405
Cu1 0.0000 0.0000 0.2500
Ni1 0.1176 0.3824 0.5000
```

---

DFT (PBE) results for crystalline PrCu2Ni4 at its relaxed geometry.

Summary:
Polymorph energy (0 for the lowest one)   0.472 eV per atom

Cell and atoms, written as CIF:
```
data_PrCu2Ni4
_chemical_formula_sum 'Pr2 Cu4 Ni8'
_symmetry_space_group_name_H-M 'I 4/m m m'
_symmetry_Int_Tables_number 139
_symmetry_space_group_name_Hall '-I 4 2'
_cell_length_a 6.9263
_cell_length_b 6.9263
_cell_length_c 5.2170
_cell_angle_alpha 90.00
_cell_angle_beta 90.00
_cell_angle_gamma 90.00
loop_
_atom_site_label
_atom_site_fract_x
_atom_site_fract_y
_atom_site_fract_z
Pr1 0.0000 0.0000 0.0000
Cu1 0.0000 0.5000 0.2500
Ni1 0.0000 0.2253 0.5000
```

---

DFT (PBE) results for crystalline PrCu3Ni at its relaxed geometry.

Summary:
Polymorph energy (0 for the lowest one)   0.278 eV per atom

Cell and atoms, written as CIF:
```
data_PrCu3Ni
_chemical_formula_sum 'Pr2 Cu6 Ni2'
_symmetry_space_group_name_H-M 'C m m m'
_symmetry_Int_Tables_number 65
_symmetry_space_group_name_Hall '-C 2 2'
_cell_length_a 6.3548
_cell_length_b 6.3900
_cell_length_c 4.5277
_cell_angle_alpha 90.00
_cell_angle_beta 90.00
_cell_angle_gamma 90.00
loop_
_atom_site_label
_atom_site_fract_x
_atom_site_fract_y
_atom_site_fract_z
Pr1 0.0000 0.0000 0.0000
Cu1 0.0000 0.5000 0.0000
Cu2 0.2500 0.2500 0.5000
Ni1 0.0000 0.5000 0.5000
```

---

DFT (PBE) results for crystalline PrCu4Ni4 at its relaxed geometry.

Cell and atoms, written as CIF:
```
data_PrCu4Ni4
_chemical_formula_sum 'Pr2 Cu8 Ni8'
_symmetry_space_group_name_H-M 'I 4/m'
_symmetry_Int_Tables_number 87
_symmetry_space_group_name_Hall '-I 4'
_cell_length_a 7.9037
_cell_length_b 7.9037
_cell_length_c 4.1929
_cell_angle_alpha 90.00
_cell_angle_beta 90.00
_cell_angle_gamma 90.00
loop_
_atom_site_label
_atom_site_fract_x
_atom_site_fract_y
_atom_site_fract_z
Pr1 0.0000 0.0000 0.0000
Cu1 0.1566 0.2601 0.5000
Ni1 0.0813 0.3834 0.0000
```

---

DFT (PBE) results for crystalline Pr3Cu3Ni2 at its relaxed geometry.

Cell and atoms, written as CIF:
```
data_Pr3Cu3Ni2
_chemical_formula_sum 'Pr12 Cu12 Ni8'
_symmetry_space_group_name_H-M 'C m c m'
_symmetry_Int_Tables_number 63
_symmetry_space_group_name_Hall '-C 2c 2'
_cell_length_a 4.0797
_cell_length_b 10.5823
_cell_length_c 15.4641
_cell_angle_alpha 90.00
_cell_angle_beta 90.00
_cell_angle_gamma 90.00
loop_
_atom_site_label
_atom_site_fract_x
_atom_site_fract_y
_atom_site_fract_z
Pr1 0.0000 0.0964 0.2500
Pr2 0.0000 0.3702 0.0901
Cu1 0.0000 0.0866 0.0529
Cu2 0.0000 0.1934 0.7500
Ni1 0.0000 0.3283 0.6172
```

---

DFT (PBE) results for crystalline PrCuNi3 at its relaxed geometry.

Summary:
Polymorph energy (0 for the lowest one)   0.000 eV per atom

Cell and atoms, written as CIF:
```
data_PrCuNi3
_chemical_formula_sum 'Pr4 Cu4 Ni12'
_symmetry_space_group_name_H-M 'I m m a'
_symmetry_Int_Tables_number 74
_symmetry_space_group_name_Hall '-I 2b 2'
_cell_length_a 4.8808
_cell_length_b 6.7489
_cell_length_c 9.3479
_cell_angle_alpha 90.00
_cell_angle_beta 90.00
_cell_angle_gamma 90.00
loop_
_atom_site_label
_atom_site_fract_x
_atom_site_fract_y
_atom_site_fract_z
Pr1 0.0000 0.0000 0.0000
Cu1 0.0000 0.2500 0.4725
Ni1 0.0000 0.0644 0.6968
Ni2 0.2500 0.2500 0.2500
```

---

DFT (PBE) results for crystalline Pr3CuNi at its relaxed geometry.

Summary:
Polymorph energy (0 for the lowest one)   0.000 eV per atom

Cell and atoms, written as CIF:
```
data_Pr3CuNi
_chemical_formula_sum 'Pr12 Cu4 Ni4'
_symmetry_space_group_name_H-M 'C 1 2/m 1'
_symmetry_Int_Tables_number 12
_cell_length_a 10.7474
_cell_length_b 6.6730
_cell_length_c 7.9175
_cell_angle_alpha 90.00
_cell_angle_beta 111.90
_cell_angle_gamma 90.00
loop_
_symmetry_equiv_pos_as_xyz
'x,y,z'
'-x,-y,-z'
'-x,y,-z'
'x,-y,z'
'x+1/2,y+1/2,z'
'-x+1/2,-y+1/2,-z'
'-x+1/2,y+1/2,-z'
'x+1/2,-y+1/2,z'
loop_
_atom_site_label
_atom_site_fract_x
_atom_site_fract_y
_atom_site_fract_z
Pr1 0.0067 0.0000 0.2398
Pr2 0.1904 0.5000 0.8561
Pr3 0.1908 0.5000 0.3338
Cu1 0.0000 0.3113 0.5000
Ni1 0.0000 0.3119 0.0000
```

---

DFT (PBE) results for crystalline PrCu2Ni4 at its relaxed geometry.

Summary:
Polymorph energy (0 for the lowest one)   0.000 eV per atom

Cell and atoms, written as CIF:
```
data_PrCu2Ni4
_chemical_formula_sum 'Pr2 Cu4 Ni8'
_symmetry_space_group_name_H-M 'I m m m'
_symmetry_Int_Tables_number 71
_symmetry_space_group_name_Hall '-I 2 2'
_cell_length_a 4.9051
_cell_length_b 6.2884
_cell_length_c 6.3047
_cell_angle_alpha 90.00
_cell_angle_beta 90.00
_cell_angle_gamma 90.00
loop_
_atom_site_label
_atom_site_fract_x
_atom_site_fract_y
_atom_site_fract_z
Pr1 0.0000 0.0000 0.0000
Cu1 0.2501 0.0000 0.5000
Ni1 0.0000 0.3077 0.3078
```

---

DFT (PBE) results for crystalline Pr2CuNi5 at its relaxed geometry.

Cell and atoms, written as CIF:
```
data_Pr2CuNi5
_chemical_formula_sum 'Pr4 Cu2 Ni10'
_symmetry_space_group_name_H-M 'I 4 m m'
_symmetry_Int_Tables_number 107
_symmetry_space_group_name_Hall 'I 4 -2'
_cell_length_a 5.7801
_cell_length_b 5.7801
_cell_length_c 8.1717
_cell_angle_alpha 90.00
_cell_angle_beta 90.00
_cell_angle_gamma 90.00
loop_
_atom_site_label
_atom_site_fract_x
_atom_site_fract_y
_atom_site_fract_z
Pr1 0.0000 0.5000 0.0000
Cu1 0.0000 0.0000 0.2711
Ni1 0.0000 0.0000 0.9719
Ni2 0.2097 0.2097 0.7480
```

---

DFT (PBE) results for crystalline PrCuNi at its relaxed geometry.

Cell and atoms, written as CIF:
```
data_PrCuNi
_chemical_formula_sum 'Pr1 Cu1 Ni1'
_symmetry_space_group_name_H-M 'P -6 m 2'
_symmetry_Int_Tables_number 187
_symmetry_space_group_name_Hall 'P -6 2'
_cell_length_a 4.1970
_cell_length_b 4.1970
_cell_length_c 3.8502
_cell_angle_alpha 90.00
_cell_angle_beta 90.00
_cell_angle_gamma 120.00
loop_
_atom_site_label
_atom_site_fract_x
_atom_site_fract_y
_atom_site_fract_z
Pr1 0.0000 0.0000 0.0000
Cu1 0.3333 0.6667 0.5000
Ni1 0.6667 0.3333 0.5000
```

---

DFT (PBE) results for crystalline Pr12CuNi6 at its relaxed geometry.

Cell and atoms, written as CIF:
```
data_Pr12CuNi6
_chemical_formula_sum 'Pr24 Cu2 Ni12'
_symmetry_space_group_name_H-M 'I m -3'
_symmetry_Int_Tables_number 204
_symmetry_space_group_name_Hall '-I 2 2 3'
_cell_length_a 10.0524
_cell_length_b 10.0524
_cell_length_c 10.0524
_cell_angle_alpha 90.00
_cell_angle_beta 90.00
_cell_angle_gamma 90.00
loop_
_atom_site_label
_atom_site_fract_x
_atom_site_fract_y
_atom_site_fract_z
Pr1 0.0000 0.1855 0.3039
Cu1 0.0000 0.0000 0.0000
Ni1 0.0000 0.3776 0.5000
```

---

DFT (PBE) results for crystalline Pr3Cu2Ni7 at its relaxed geometry.

Cell and atoms, written as CIF:
```
data_Pr3Cu2Ni7
_chemical_formula_sum 'Pr9 Cu6 Ni21'
_symmetry_space_group_name_H-M 'R -3 m'
_symmetry_Int_Tables_number 166
_symmetry_space_group_name_Hall '-R 3 2"'
_cell_length_a 5.1148
_cell_length_b 5.1148
_cell_length_c 24.7946
_cell_angle_alpha 90.00
_cell_angle_beta 90.00
_cell_angle_gamma 120.00
loop_
_atom_site_label
_atom_site_fract_x
_atom_site_fract_y
_atom_site_fract_z
Pr1 0.0000 0.0000 0.0000
Pr2 0.0000 0.0000 0.1390
Cu1 0.0000 0.0000 0.3331
Ni1 0.0000 0.0000 0.5000
Ni2 0.0011 0.5005 0.0817
```

---

DFT (PBE) results for crystalline Pr3Cu4Ni2 at its relaxed geometry.

Cell and atoms, written as CIF:
```
data_Pr3Cu4Ni2
_chemical_formula_sum 'Pr6 Cu8 Ni4'
_symmetry_space_group_name_H-M 'C 1 2/m 1'
_symmetry_Int_Tables_number 12
_cell_length_a 10.6868
_cell_length_b 4.1864
_cell_length_c 8.3252
_cell_angle_alpha 90.00
_cell_angle_beta 106.81
_cell_angle_gamma 90.00
loop_
_symmetry_equiv_pos_as_xyz
'x,y,z'
'-x,-y,-z'
'-x,y,-z'
'x,-y,z'
'x+1/2,y+1/2,z'
'-x+1/2,-y+1/2,-z'
'-x+1/2,y+1/2,-z'
'x+1/2,-y+1/2,z'
loop_
_atom_site_label
_atom_site_fract_x
_atom_site_fract_y
_atom_site_fract_z
Pr1 0.0000 0.0000 0.0000
Pr2 0.1718 0.5000 0.6605
Cu1 0.0498 0.0000 0.3836
Cu2 0.2211 0.5000 0.0585
Ni1 0.1091 0.5000 0.2752
```

---

DFT (PBE) results for crystalline PrCu8Ni2 at its relaxed geometry.

Cell and atoms, written as CIF:
```
data_PrCu8Ni2
_chemical_formula_sum 'Pr1 Cu8 Ni2'
_symmetry_space_group_name_H-M 'P 4/m m m'
_symmetry_Int_Tables_number 123
_symmetry_space_group_name_Hall '-P 4 2'
_cell_length_a 4.8496
_cell_length_b 4.8496
_cell_length_c 8.1759
_cell_angle_alpha 90.00
_cell_angle_beta 90.00
_cell_angle_gamma 90.00
loop_
_atom_site_label
_atom_site_fract_x
_atom_site_fract_y
_atom_site_fract_z
Pr1 0.0000 0.0000 0.0000
Cu1 0.2524 0.2524 0.2918
Ni1 0.0000 0.5000 0.5000
```

---

DFT (PBE) results for crystalline Pr8CuNi2 at its relaxed geometry.

Cell and atoms, written as CIF:
```
data_Pr8CuNi2
_chemical_formula_sum 'Pr16 Cu2 Ni4'
_symmetry_space_group_name_H-M 'C 1 m 1'
_symmetry_Int_Tables_number 8
_cell_length_a 8.9549
_cell_length_b 11.7600
_cell_length_c 6.6465
_cell_angle_alpha 90.00
_cell_angle_beta 109.40
_cell_angle_gamma 90.00
loop_
_symmetry_equiv_pos_as_xyz
'x,y,z'
'x,-y,z'
'x+1/2,y+1/2,z'
'x+1/2,-y+1/2,z'
loop_
_atom_site_label
_atom_site_fract_x
_atom_site_fract_y
_atom_site_fract_z
Pr1 0.0000 0.0000 0.0000
Pr2 0.0877 0.3612 0.8555
Pr3 0.1483 0.1503 0.5543
Pr4 0.2352 0.5000 0.4217
Pr5 0.3594 0.1764 0.1756
Cu1 0.3927 0.0000 0.4839
Ni1 0.3737 0.3150 0.7229
```

---

For the records above, the corresponding D(E_F) values read 3.98; 11.66; 6.18; 11.57; 2.67; 6.80; 9.51; 6.02; 3.77; 6.58; 5.83; 5.00; 6.23; 9.32; 2.53; 2.18; 18.87; 7.60; 6.40; 6.01; 13.74 states/eV/f.u..
For the records above, the corresponding DFT total energy values read -74.137; -83.419; -67.716; -270.202; -50.586; -120.234; -162.904; -66.941; -44.043; -88.665; -160.420; -106.658; -99.685; -73.555; -86.773; -15.386; -199.009; -199.083; -88.791; -44.892; -107.899 eV/cell.